# 1
This record from Alexandria describes a relaxed structure of Sm2Dy6HoSc3. The functional is PBE.

Cell and atoms, written as CIF:
```
data_Sm2Dy6HoSc3
_space_group_name_H-M_alt 'C 1 2/m 1'
_space_group_IT_number 12
_cell_length_a 6.059
_cell_length_b 10.490
_cell_length_c 11.489
_cell_angle_alpha 90.00
_cell_angle_beta 100.11
_cell_angle_gamma 90.00
loop_
_space_group_symop_operation_xyz
'x,y,z'
'-x,-y,-z'
'-x,y,-z'
'x,-y,z'
'x+1/2,y+1/2,z'
'-x+1/2,-y+1/2,-z'
'-x+1/2,y+1/2,-z'
'x+1/2,-y+1/2,z'
loop_
_atom_site_label
_atom_site_fract_x
_atom_site_fract_y
_atom_site_fract_z
_atom_site_occupancy
Sm1 0.000 0.167 0.000 1
Dy1 0.246 0.500 0.740 1
Dy2 0.247 0.166 0.740 1
Ho1 0.000 0.500 0.000 1
Sc1 0.000 0.000 0.500 1
Sc2 0.000 0.334 0.500 1
```

Calculated values
As for the formation energy: 44 meV per atom.

# 2
This record from Alexandria describes a relaxed structure of Sm2DyHoSc4. The functional is PBE.

Cell and atoms, written as CIF:
```
data_Sm2DyHoSc4
_space_group_name_H-M_alt 'P 1 2/m 1'
_space_group_IT_number 10
_cell_length_a 5.954
_cell_length_b 3.437
_cell_length_c 11.170
_cell_angle_alpha 90.00
_cell_angle_beta 100.14
_cell_angle_gamma 90.00
loop_
_space_group_symop_operation_xyz
'x,y,z'
'-x,-y,-z'
'-x,y,-z'
'x,-y,z'
loop_
_atom_site_label
_atom_site_fract_x
_atom_site_fract_y
_atom_site_fract_z
_atom_site_occupancy
Sm1 0.000 0.000 0.000 1
Sm2 0.000 0.500 0.500 1
Dy1 0.500 0.000 0.500 1
Ho1 0.500 0.500 0.000 1
Sc1 0.251 0.000 0.750 1
Sc2 0.251 0.500 0.250 1
```

Calculated values
As for the formation energy: 61 meV per atom.

# 3
This record from Alexandria describes a relaxed structure of SmDy2Ho2Sc2. The functional is PBE.

Cell and atoms, written as CIF:
```
data_SmDy2Ho2Sc2
_space_group_name_H-M_alt 'C 1 2/m 1'
_space_group_IT_number 12
_cell_length_a 17.190
_cell_length_b 3.388
_cell_length_c 8.168
_cell_angle_alpha 90.00
_cell_angle_beta 116.53
_cell_angle_gamma 90.00
loop_
_space_group_symop_operation_xyz
'x,y,z'
'-x,-y,-z'
'-x,y,-z'
'x,-y,z'
'x+1/2,y+1/2,z'
'-x+1/2,-y+1/2,-z'
'-x+1/2,y+1/2,-z'
'x+1/2,-y+1/2,z'
loop_
_atom_site_label
_atom_site_fract_x
_atom_site_fract_y
_atom_site_fract_z
_atom_site_occupancy
Sm1 0.000 0.000 0.000 1
Dy1 0.072 0.500 0.415 1
Ho1 0.212 0.000 0.290 1
Sc1 0.151 0.500 0.892 1
```

Calculated values
As for the formation energy: 182 meV per atom.

# 4
This record from Alexandria describes a relaxed structure of TbDyHoSc2. The functional is PBE.

Cell and atoms, written as CIF:
```
data_TbDyHoSc2
_space_group_name_H-M_alt 'C m c m'
_space_group_IT_number 63
_space_group_name_Hall '-C 2c 2'
_cell_length_a 6.049
_cell_length_b 16.620
_cell_length_c 6.048
_cell_angle_alpha 90.00
_cell_angle_beta 90.00
_cell_angle_gamma 90.00
loop_
_atom_site_label
_atom_site_fract_x
_atom_site_fract_y
_atom_site_fract_z
_atom_site_occupancy
Tb1 0.000 0.154 0.250 1
Dy1 0.000 0.249 0.750 1
Ho1 0.000 0.347 0.250 1
Sc1 0.250 0.000 0.000 1
```

Calculated values
As for the formation energy: 354 meV per atom.

# 5
This record from Alexandria describes a relaxed structure of TbDyHo4Sc2. The functional is PBE.

Cell and atoms, written as CIF:
```
data_TbDyHo4Sc2
_space_group_name_H-M_alt 'P -1'
_space_group_IT_number 2
_cell_length_a 6.977
_cell_length_b 6.977
_cell_length_c 11.194
_cell_angle_alpha 89.99
_cell_angle_beta 90.00
_cell_angle_gamma 60.03
loop_
_space_group_symop_operation_xyz
'x,y,z'
'-x,-y,-z'
loop_
_atom_site_label
_atom_site_fract_x
_atom_site_fract_y
_atom_site_fract_z
_atom_site_occupancy
Tb1 0.000 0.000 0.000 1
Tb2 0.000 0.500 0.000 1
Dy1 0.000 0.000 0.500 1
Dy2 0.500 0.000 0.000 1
Ho1 0.168 0.168 0.745 1
Ho2 0.169 0.665 0.747 1
Ho3 0.333 0.334 0.257 1
Ho4 0.335 0.831 0.253 1
Sc1 0.000 0.500 0.500 1
Sc2 0.500 0.000 0.500 1
Sc3 0.500 0.500 0.000 1
Sc4 0.500 0.500 0.500 1
```

Calculated values
As for the formation energy: 30 meV per atom.

# 6
This record from Alexandria describes a relaxed structure of TbDy3HoSc. The functional is PBE.

Cell and atoms, written as CIF:
```
data_TbDy3HoSc
_space_group_name_H-M_alt 'C 1 2/m 1'
_space_group_IT_number 12
_cell_length_a 21.456
_cell_length_b 5.445
_cell_length_c 6.524
_cell_angle_alpha 90.00
_cell_angle_beta 98.30
_cell_angle_gamma 90.00
loop_
_space_group_symop_operation_xyz
'x,y,z'
'-x,-y,-z'
'-x,y,-z'
'x,-y,z'
'x+1/2,y+1/2,z'
'-x+1/2,-y+1/2,-z'
'-x+1/2,y+1/2,-z'
'x+1/2,-y+1/2,z'
loop_
_atom_site_label
_atom_site_fract_x
_atom_site_fract_y
_atom_site_fract_z
_atom_site_occupancy
Tb1 0.164 0.000 0.036 1
Dy1 0.024 0.000 0.761 1
Dy2 0.159 0.500 0.760 1
Dy3 0.227 0.500 0.310 1
Ho1 0.072 0.500 0.195 1
Sc1 0.132 0.000 0.470 1
```

Calculated values
As for the formation energy: 189 meV per atom.

# 7
This record from Alexandria describes a relaxed structure of Tb2DyHoSc2. The functional is PBE.

Cell and atoms, written as CIF:
```
data_Tb2DyHoSc2
_space_group_name_H-M_alt 'P n n m'
_space_group_IT_number 58
_cell_length_a 6.269
_cell_length_b 17.359
_cell_length_c 3.325
_cell_angle_alpha 90.00
_cell_angle_beta 90.00
_cell_angle_gamma 90.00
loop_
_space_group_symop_operation_xyz
'x,y,z'
'-x,-y,-z'
'-x,-y,z'
'x,y,-z'
'x+1/2,-y+1/2,-z+1/2'
'-x+1/2,y+1/2,z+1/2'
'-x+1/2,y+1/2,-z+1/2'
'x+1/2,-y+1/2,z+1/2'
loop_
_atom_site_label
_atom_site_fract_x
_atom_site_fract_y
_atom_site_fract_z
_atom_site_occupancy
Tb1 0.225 0.191 0.000 1
Dy1 0.000 0.500 0.000 1
Ho1 0.000 0.000 0.000 1
Sc1 0.223 0.355 0.500 1
```

Calculated values
As for the formation energy: 278 meV per atom.

# 8
This record from Alexandria describes a relaxed structure of TbDy6Ho2Sc. The functional is PBE.

Cell and atoms, written as CIF:
```
data_TbDy6Ho2Sc
_space_group_name_H-M_alt 'C 1 2/c 1'
_space_group_IT_number 15
_cell_length_a 9.014
_cell_length_b 14.809
_cell_length_c 9.388
_cell_angle_alpha 90.00
_cell_angle_beta 97.29
_cell_angle_gamma 90.00
loop_
_space_group_symop_operation_xyz
'x,y,z'
'-x,-y,-z'
'-x,y,-z+1/2'
'x,-y,z+1/2'
'x+1/2,y+1/2,z'
'-x+1/2,-y+1/2,-z'
'-x+1/2,y+1/2,-z+1/2'
'x+1/2,-y+1/2,z+1/2'
loop_
_atom_site_label
_atom_site_fract_x
_atom_site_fract_y
_atom_site_fract_z
_atom_site_occupancy
Tb1 0.000 0.023 0.250 1
Dy1 0.060 0.186 0.945 1
Dy2 0.100 0.393 0.116 1
Dy3 0.215 0.221 0.311 1
Ho1 0.247 0.448 0.453 1
Sc1 0.000 0.414 0.750 1
```

Calculated values
As for the formation energy: 127 meV per atom.

# 9
This record from Alexandria describes a relaxed structure of Tb4DyHo2Sc. The functional is PBE.

Cell and atoms, written as CIF:
```
data_Tb4DyHo2Sc
_space_group_name_H-M_alt 'P 4/m m m'
_space_group_IT_number 123
_space_group_name_Hall '-P 4 2'
_cell_length_a 4.973
_cell_length_b 4.973
_cell_length_c 9.901
_cell_angle_alpha 90.00
_cell_angle_beta 90.00
_cell_angle_gamma 90.00
loop_
_atom_site_label
_atom_site_fract_x
_atom_site_fract_y
_atom_site_fract_z
_atom_site_occupancy
Tb1 0.000 0.500 0.245 1
Dy1 0.000 0.000 0.500 1
Ho1 0.000 0.000 0.000 1
Ho2 0.500 0.500 0.500 1
Sc1 0.500 0.500 0.000 1
```

Calculated values
As for the formation energy: 29 meV per atom.

# 10
This record from Alexandria describes a relaxed structure of Tb2Dy2HoSc2. The functional is PBE.

Cell and atoms, written as CIF:
```
data_Tb2Dy2HoSc2
_space_group_name_H-M_alt 'C 1 2/m 1'
_space_group_IT_number 12
_cell_length_a 17.184
_cell_length_b 3.404
_cell_length_c 8.220
_cell_angle_alpha 90.00
_cell_angle_beta 117.80
_cell_angle_gamma 90.00
loop_
_space_group_symop_operation_xyz
'x,y,z'
'-x,-y,-z'
'-x,y,-z'
'x,-y,z'
'x+1/2,y+1/2,z'
'-x+1/2,-y+1/2,-z'
'-x+1/2,y+1/2,-z'
'x+1/2,-y+1/2,z'
loop_
_atom_site_label
_atom_site_fract_x
_atom_site_fract_y
_atom_site_fract_z
_atom_site_occupancy
Tb1 0.149 0.000 0.395 1
Dy1 0.076 0.000 0.913 1
Ho1 0.000 0.500 0.500 1
Sc1 0.212 0.500 0.801 1
```

Calculated values
As for the formation energy: 157 meV per atom.